(1)
The following is a SCAN calculation of Tb2Ce at its PBEsol-relaxed geometry, from Alexandria.

## Properties
Space-group type ... R-3m
DOS(E_F) ... 13.1 states/eV/cell
ΔH_f (0 K) ... 0.04 eV/atom

```
Tb2Ce
1.0
3.4656 0.0000 0.0000
-1.7328 3.0013 0.0000
0.0000 0.0000 24.7531
Tb Ce
6 3
direct
0.0000 0.0000 0.2247 Tb
0.0000 0.0000 0.7753 Tb
0.3333 0.6667 0.4419 Tb
0.3333 0.6667 0.8914 Tb
0.6667 0.3333 0.1086 Tb
0.6667 0.3333 0.5581 Tb
0.0000 0.0000 0.0000 Ce
0.3333 0.6667 0.6667 Ce
0.6667 0.3333 0.3333 Ce
```


(2)
The following is a SCAN calculation of CoCu3 at its PBEsol-relaxed geometry, from Alexandria.

## Properties
Space-group type ... P4/mmm
DOS(E_F) ... 1.9 states/eV/cell
ΔH_f (0 K) ... 0.09 eV/atom

```
CoCu3
1.0
2.4626 0.0000 0.0000
0.0000 2.4626 0.0000
0.0000 0.0000 7.2900
Co Cu
1 3
direct
0.0000 0.0000 0.0000 Co
0.0000 0.0000 0.5000 Cu
0.5000 0.5000 0.2475 Cu
0.5000 0.5000 0.7525 Cu
```


(3)
The following is a SCAN calculation of BaCa2Au at its PBEsol-relaxed geometry, from Alexandria.

## Properties
Space-group type ... P4/mmm
DOS(E_F) ... 3.6 states/eV/cell
ΔH_f (0 K) ... -0.47 eV/atom

```
BaCa2Au
1.0
3.7131 0.0000 0.0000
0.0000 3.7131 0.0000
0.0000 0.0000 9.8816
Ba Ca Au
1 2 1
direct
0.0000 0.0000 0.0000 Ba
0.5000 0.5000 0.3311 Ca
0.5000 0.5000 0.6689 Ca
0.0000 0.0000 0.5000 Au
```


(4)
The following is a SCAN calculation of P2S5 at its PBEsol-relaxed geometry, from Alexandria.

## Properties
Space-group type ... P-1
ΔE_f (raw) ... -0.234 eV/atom
DOS(E_F) ... 0.0 states/eV/cell

```
P2S5
1.0
9.2046 0.0000 0.0000
-3.1753 8.6802 0.0000
-0.4905 -2.3464 9.0179
P S
8 20
direct
0.0654 0.2474 0.2976 P
0.1523 0.3075 0.9574 P
0.3340 0.6030 0.2739 P
0.4216 0.2641 0.1970 P
0.5784 0.7359 0.8030 P
0.6660 0.3970 0.7261 P
0.8477 0.6925 0.0426 P
0.9346 0.7526 0.7024 P
0.0267 0.7994 0.9255 S
0.0686 0.2642 0.7530 S
0.1006 0.8510 0.5982 S
0.1567 0.4944 0.3924 S
0.2426 0.1539 0.3128 S
0.2427 0.5548 0.0499 S
0.3305 0.2148 0.9725 S
0.4131 0.8158 0.7851 S
0.4190 0.8296 0.3539 S
0.4869 0.4882 0.7120 S
0.5131 0.5118 0.2880 S
0.5810 0.1704 0.6461 S
0.5869 0.1842 0.2149 S
0.6695 0.7852 0.0275 S
0.7573 0.4452 0.9501 S
0.7574 0.8461 0.6872 S
0.8433 0.5056 0.6076 S
0.8994 0.1490 0.4018 S
0.9314 0.7358 0.2470 S
0.9733 0.2006 0.0745 S
```


(5)
The following is a SCAN calculation of CdHgSe2Br at its PBEsol-relaxed geometry, from Alexandria.

## Properties
Space-group type ... P4/mmm
ΔE_f (raw) ... 0.377 eV/atom
DOS(E_F) ... 2.9 states/eV/cell

```
CdHgSe2Br
1.0
5.1921 0.0000 0.0000
0.0000 5.1921 0.0000
0.0000 0.0000 5.2814
Cd Hg Se Br
1 1 2 1
direct
0.0000 0.0000 0.0000 Cd
0.5000 0.5000 0.5000 Hg
0.0000 0.5000 0.5000 Se
0.5000 0.0000 0.5000 Se
0.5000 0.5000 0.0000 Br
```


(6)
The following is a SCAN calculation of In2TeBr at its PBEsol-relaxed geometry, from Alexandria.

## Properties
Space-group type ... Cm
ΔE_f (raw) ... -0.299 eV/atom
DOS(E_F) ... 2.6 states/eV/cell

```
In2TeBr
1.0
12.8835 0.0000 0.0000
0.0000 3.7927 0.0000
-1.8588 0.0000 4.5387
In Te Br
4 2 2
direct
0.0000 0.0000 0.0000 In
0.2177 0.5000 0.2216 In
0.5000 0.5000 0.0000 In
0.7177 0.0000 0.2216 In
0.2969 0.0000 0.7994 Te
0.7969 0.5000 0.7994 Te
0.0166 0.5000 0.5181 Br
0.5166 0.0000 0.5181 Br
```


(7)
The following is a SCAN calculation of ZrNiHg at its PBEsol-relaxed geometry, from Alexandria.

## Properties
Space-group type ... P3m1
DOS(E_F) ... 2.6 states/eV/cell
ΔH_f (0 K) ... -0.06 eV/atom

```
ZrNiHg
1.0
3.4588 0.0000 0.0000
-1.7294 2.9954 0.0000
0.0000 0.0000 5.5104
Zr Ni Hg
1 1 1
direct
0.0000 0.0000 0.0000 Zr
0.6667 0.3333 0.2702 Ni
0.3333 0.6667 0.5875 Hg
```


(8)
The following is a SCAN calculation of TlGeSN2 at its PBEsol-relaxed geometry, from Alexandria.

## Properties
Space-group type ... P4/mmm
ΔE_f (raw) ... 0.968 eV/atom
DOS(E_F) ... 2.7 states/eV/cell

```
TlGeSN2
1.0
3.7769 0.0000 0.0000
0.0000 3.7769 0.0000
0.0000 0.0000 5.2791
Tl Ge S N
1 1 1 2
direct
0.0000 0.0000 0.0000 Tl
0.5000 0.5000 0.5000 Ge
0.5000 0.5000 0.0000 S
0.0000 0.5000 0.5000 N
0.5000 0.0000 0.5000 N
```


One value per record, in order, for calculated density: 8.861 9.374 5.051 2.049 6.424 6.546 10.195 7.433 g/cm3.